1.
Material: KSiNi2
Method: DFT, PBE-GGA
State: relaxed

Results
- Uncorrected formation energy: 0.369 eV/atom
- DOS(E_F): 1.65 states/eV/f.u.
- Space group: Immm (71)
- Total magnetization: 0.0 Bohr magnetons per cell
- Calculated total energy: -4.152 eV per atom

Lattice parameters (Å, degrees): 5.3105 5.3105 5.3105 141.77 114.07 78.85
Fractional positions:
K1 0.2500 0.7500 0.5000
Ni1 0.5879 0.5879 0.0000
Ni2 0.9121 0.9121 0.0000
Si1 0.7500 0.2500 0.5000



2.
Material: LiGaS2O8
Method: DFT, PBE-GGA
State: relaxed

Results
- Uncorrected formation energy: -1.505 eV/atom
- DOS(E_F): 0.00 states/eV/f.u.
- Space group: P-3 (147)
- Total magnetization: 0.0 Bohr magnetons per cell
- Calculated total energy: -5.910 eV per atom

Lattice parameters (Å, degrees): 4.7840 4.7840 7.2804 90.00 90.00 120.00
Fractional positions:
O1 0.3333 0.6667 0.9358
O2 0.6476 0.7087 0.6669
O3 0.6667 0.3333 0.0642
O4 0.2913 0.9389 0.6669
O5 0.9389 0.6476 0.3331
O6 0.7087 0.0611 0.3331
O7 0.0611 0.3524 0.6669
O8 0.3524 0.2913 0.3331
S1 0.6667 0.3333 0.2637
S2 0.3333 0.6667 0.7363
Ga1 0.0000 0.0000 0.5000
Li1 0.0000 0.0000 0.0000



3.
Material: Zn3Hg2
Method: DFT, PBE-GGA
State: relaxed

Results
- Relative energy among the computed polymorphs: 0.023 eV per atom
- DOS(E_F): 1.85 states/eV/f.u.
- Space group: I4/mmm (139)
- Total magnetization: 0.0 Bohr magnetons per cell
- ΔE_f: 0.142 eV/atom
- Calculated total energy: -0.743 eV per atom

Lattice parameters (Å, degrees): 10.5166 10.5166 10.5166 163.34 163.34 23.64
Fractional positions:
Hg1 0.1036 0.1036 0.0000
Hg2 0.8964 0.8964 0.0000
Zn1 0.5000 0.5000 0.0000
Zn2 0.7098 0.7098 0.0000
Zn3 0.2902 0.2902 0.0000



4.
Material: Li12SnPd7
Method: DFT, PBE-GGA
State: relaxed

Results
- DOS(E_F): 8.68 states/eV/f.u.
- Space group: R-3m (166)
- Total magnetization: 0.0 Bohr magnetons per cell
- ΔE_f: -0.340 eV/atom
- Calculated total energy: -3.506 eV per atom

Lattice parameters (Å, degrees): 6.8892 6.8892 6.8892 103.05 103.05 103.05
Fractional positions:
Sn1 0.0000 0.0000 0.0000
Pd1 0.1554 0.1559 0.4292
Pd2 0.8441 0.5708 0.8446
Pd3 0.1559 0.4292 0.1554
Pd4 0.5708 0.8446 0.8441
Pd5 0.5000 0.5000 0.5000
Pd6 0.8446 0.8441 0.5708
Pd7 0.4292 0.1554 0.1559
Li1 0.5824 0.1821 0.5829
Li2 0.4176 0.8179 0.4171
Li3 0.1821 0.5829 0.5824
Li4 0.9996 0.2597 0.7402
Li5 0.7403 0.2598 0.0004
Li6 0.5829 0.5824 0.1821
Li7 0.4171 0.4176 0.8179
Li8 0.2597 0.7402 0.9996
Li9 0.7402 0.9996 0.2597
Li10 0.8179 0.4171 0.4176
Li11 0.2598 0.0004 0.7403
Li12 0.0004 0.7403 0.2598